First-principles (PBE) data for an optimized crystal structure of CaMgO2F, as listed in Alexandria.

CIF file:
```
data_CaMgO2F
_space_group_name_H-M_alt 'P 4/m m m'
_space_group_IT_number 123
_space_group_name_Hall '-P 4 2'
_cell_length_a 3.857
_cell_length_b 3.857
_cell_length_c 3.856
_cell_angle_alpha 90.00
_cell_angle_beta 90.00
_cell_angle_gamma 90.00
loop_
_atom_site_label
_atom_site_fract_x
_atom_site_fract_y
_atom_site_fract_z
Ca1 0.000 0.000 0.000
Mg1 0.500 0.500 0.500
O1 0.000 0.500 0.500
F1 0.500 0.500 0.000
```

## Properties
As for the calculated volume: 57.4 Å³/f.u. For the total DFT energy (no corrections), the calculation gives -5.57 eV per atom. The value obtained for the density of states at the Fermi level is 0.68 states/eV/cell. The value obtained for the total magnetization is 0.201 μB/atom.